Here is crystalline MnReS at its relaxed geometry from Alexandria via LeMat-Bulk. Energies are from GGA-PBE.

Cell and atoms, written as CIF:
```
data_MnReS
_chemical_formula_sum 'Mn3 Re3 S3'
_cell_length_a 2.8101
_cell_length_b 2.8101
_cell_length_c 17.7012
_cell_angle_alpha 90.00
_cell_angle_beta 90.00
_cell_angle_gamma 120.00
_space_group_name_H-M_alt 'R 3 m'
_space_group_IT_number 160
_space_group_name_Hall 'R 3 -2"'
loop_
_atom_site_label
_atom_site_type_symbol
_atom_site_fract_x
_atom_site_fract_y
_atom_site_fract_z
_atom_site_occupancy
Mn1 Mn 0.0000 0.0000 0.0000 1
Re1 Re 0.0000 0.0000 0.4500 1
S1 S 0.0000 0.0000 0.5834 1
```

Values from the calculation:
- energy relative to the lowest polymorph listed for this composition (meV/atom) = 155
- size of the total moment (Bohr magnetons per cell) = 0.00
- uncorrected formation energy (eV/atom) = 0.016